This record from Alexandria via LeMat-Bulk describes crystalline CoSiBr at its relaxed geometry. The functional is PBE.

Results
magnetization	0.01	μB/cell
calculated volume	120.0	Å³/cell
energy above the most stable polymorph in this dataset	0.11	eV per formula unit
density of states at the Fermi level	1.72	states/eV/f.u.
uncorrected energy	-0.3655	Ry/atom

Cell lengths 3.224, 4.250, 9.435 Å; angles 87.88, 86.35, 68.52 degrees
Space group P1 (No. 1)
Unique sites:
Co  0.000  0.000  0.000 (multiplicity 1)
Co  0.288  0.482  0.850 (multiplicity 1)
Si  0.589  0.900  0.819 (multiplicity 1)
Si  0.704  0.555  0.034 (multiplicity 1)
Br  0.188  0.792  0.243 (multiplicity 1)
Br  0.453  0.237  0.612 (multiplicity 1)

---

This record from Alexandria via LeMat-Bulk describes crystalline CoSi2Br at its relaxed geometry. The functional is PBE.

Results
magnetization	0.00	μB/cell
calculated volume	356.4	Å³/cell
energy above the most stable polymorph in this dataset	0.71	eV per formula unit
density of states at the Fermi level	0.98	states/eV/f.u.
uncorrected energy	-0.3384	Ry/atom

Cell lengths 5.747, 5.747, 10.792 Å; angles 90.00, 90.00, 90.00 degrees
Space group I-42d (No. 122)
Unique sites:
Co  0.000  0.000  0.000 (multiplicity 4)
Si  0.145  0.250  0.125 (multiplicity 8)
Br  0.000  0.000  0.500 (multiplicity 4)

---

This record from Alexandria via LeMat-Bulk describes crystalline CoSiBr2 at its relaxed geometry. The functional is PBE.

Results
magnetization	7.19	μB/cell
calculated volume	279.0	Å³/cell
energy above the most stable polymorph in this dataset	1.38	eV per formula unit
density of states at the Fermi level	5.59	states/eV/f.u.
uncorrected energy	-0.2688	Ry/atom

Cell lengths 3.5423, 3.5423, 25.6778 Å; angles 90.00, 90.00, 120.00 degrees
Space group R-3m (No. 166, hexagonal axes)
Unique sites:
Co  0.0000  0.0000  0.0000 (multiplicity 3)
Si  0.0000  0.0000  0.5000 (multiplicity 3)
Br  0.0000  0.0000  0.3926 (multiplicity 6)

---

This record from Alexandria via LeMat-Bulk describes crystalline Co4SiBr at its relaxed geometry. The functional is PBE.

Results
magnetization	28.37	μB/cell
calculated volume	327.7	Å³/cell
density of states at the Fermi level	9.12	states/eV/f.u.
uncorrected energy	-0.3874	Ry/atom

Cell lengths 6.895, 6.895, 6.895 Å; angles 90.00, 90.00, 90.00 degrees
Space group F-43m (No. 216)
Unique sites:
Co  0.124  0.124  0.376 (multiplicity 16)
Si  0.250  0.250  0.750 (multiplicity 4)
Br  0.000  0.000  0.000 (multiplicity 4)

---

This record from Alexandria via LeMat-Bulk describes crystalline CoSiBr at its relaxed geometry. The functional is PBE.

Results
magnetization	0.00	μB/cell
calculated volume	203.2	Å³/cell
energy above the most stable polymorph in this dataset	2.17	eV per formula unit
density of states at the Fermi level	0.75	states/eV/f.u.
uncorrected energy	-0.3149	Ry/atom

Cell lengths 5.879, 5.879, 5.879 Å; angles 90.00, 90.00, 90.00 degrees
Space group F-43m (No. 216)
Unique sites:
Co  0.000  0.000  0.000 (multiplicity 4)
Si  0.250  0.250  0.750 (multiplicity 4)
Br  0.250  0.250  0.250 (multiplicity 4)

---

This record from Alexandria via LeMat-Bulk describes crystalline CoSiBr2 at its relaxed geometry. The functional is PBE.

Results
magnetization	1.21	μB/cell
calculated volume	93.0	Å³/cell
energy above the most stable polymorph in this dataset	0.14	eV per formula unit
density of states at the Fermi level	1.56	states/eV/f.u.
uncorrected energy	-0.2917	Ry/atom

Cell lengths 3.535, 3.360, 7.924 Å; angles 90.00, 99.02, 90.00 degrees
Space group Pm (No. 6)
Unique sites:
Co  0.000  0.000  0.000 (multiplicity 1)
Si  0.495  0.500  0.952 (multiplicity 1)
Br  0.045  0.500  0.239 (multiplicity 1)
Br  0.765  0.000  0.700 (multiplicity 1)

---

This record from Alexandria via LeMat-Bulk describes crystalline CoSiBr2 at its relaxed geometry. The functional is PBE.

Results
magnetization	4.00	μB/cell
calculated volume	389.4	Å³/cell
energy above the most stable polymorph in this dataset	0.53	eV per formula unit
density of states at the Fermi level	0.05	states/eV/f.u.
uncorrected energy	-0.2845	Ry/atom

Cell lengths 9.403, 9.403, 4.404 Å; angles 90.00, 90.00, 90.00 degrees
Space group I-42d (No. 122)
Unique sites:
Co  0.000  0.000  0.000 (multiplicity 4)
Si  0.000  0.000  0.500 (multiplicity 4)
Br  0.086  0.750  0.125 (multiplicity 8)

---

This record from Alexandria via LeMat-Bulk describes crystalline Co2SiBr at its relaxed geometry. The functional is PBE.

Results
magnetization	3.34	μB/cell
calculated volume	165.2	Å³/cell
energy above the most stable polymorph in this dataset	0.90	eV per formula unit
density of states at the Fermi level	3.94	states/eV/f.u.
uncorrected energy	-0.3711	Ry/atom

Cell lengths 2.9432, 2.9432, 22.0254 Å; angles 90.00, 90.00, 120.00 degrees
Space group R-3m (No. 166, hexagonal axes)
Unique sites:
Co  0.0000  0.0000  0.2415 (multiplicity 6)
Si  0.0000  0.0000  0.5000 (multiplicity 3)
Br  0.0000  0.0000  0.0000 (multiplicity 3)

---

This record from Alexandria via LeMat-Bulk describes crystalline CoSi2Br at its relaxed geometry. The functional is PBE.

Results
magnetization	0.00	μB/cell
calculated volume	157.5	Å³/cell
energy above the most stable polymorph in this dataset	0.24	eV per formula unit
density of states at the Fermi level	1.23	states/eV/f.u.
uncorrected energy	-0.3471	Ry/atom

Cell lengths 7.003, 3.308, 7.186 Å; angles 90.00, 108.86, 90.00 degrees
Space group Cm (No. 8)
Unique sites:
Co  0.000  0.000  0.000 (multiplicity 2)
Si  0.014  0.500  0.292 (multiplicity 2)
Si  0.249  0.500  0.138 (multiplicity 2)
Br  0.215  0.000  0.775 (multiplicity 2)

---

This record from Alexandria via LeMat-Bulk describes crystalline CoSiBr2 at its relaxed geometry. The functional is PBE.

Results
magnetization	1.62	μB/cell
calculated volume	77.2	Å³/cell
energy above the most stable polymorph in this dataset	3.10	eV per formula unit
density of states at the Fermi level	4.43	states/eV/f.u.
uncorrected energy	-0.2372	Ry/atom

Cell lengths 4.798, 4.798, 3.351 Å; angles 90.00, 90.00, 90.00 degrees
Space group P4/mmm (No. 123)
Unique sites:
Co  0.000  0.000  0.000 (multiplicity 1)
Si  0.500  0.500  0.000 (multiplicity 1)
Br  0.000  0.500  0.500 (multiplicity 2)

---

This record from Alexandria via LeMat-Bulk describes crystalline CoSiBr at its relaxed geometry. The functional is PBE.

Results
magnetization	2.72	μB/cell
calculated volume	240.6	Å³/cell
energy above the most stable polymorph in this dataset	1.92	eV per formula unit
density of states at the Fermi level	2.25	states/eV/f.u.
uncorrected energy	-0.3211	Ry/atom

Cell lengths 4.020, 5.095, 11.747 Å; angles 90.00, 90.00, 90.00 degrees
Space group Fmm2 (No. 42)
Unique sites:
Co  0.000  0.000  0.000 (multiplicity 4)
Si  0.000  0.000  0.422 (multiplicity 4)
Br  0.000  0.000  0.644 (multiplicity 4)

---

This record from Alexandria via LeMat-Bulk describes crystalline CoSi2Br at its relaxed geometry. The functional is PBE.

Results
magnetization	1.67	μB/cell
calculated volume	125.4	Å³/cell
energy above the most stable polymorph in this dataset	2.59	eV per formula unit
density of states at the Fermi level	2.62	states/eV/f.u.
uncorrected energy	-0.3038	Ry/atom

Cell lengths 5.531, 7.530, 3.010 Å; angles 90.00, 90.00, 90.00 degrees
Space group Cmmm (No. 65)
Unique sites:
Co  0.000  0.000  0.000 (multiplicity 2)
Si  0.250  0.250  0.500 (multiplicity 4)
Br  0.000  0.500  0.000 (multiplicity 2)

---

This record from Alexandria via LeMat-Bulk describes crystalline CoSiBr2 at its relaxed geometry. The functional is PBE.

Results
magnetization	2.72	μB/cell
calculated volume	181.4	Å³/cell
energy above the most stable polymorph in this dataset	2.99	eV per formula unit
density of states at the Fermi level	6.35	states/eV/f.u.
uncorrected energy	-0.2393	Ry/atom

Cell lengths 3.787, 3.787, 12.646 Å; angles 90.00, 90.00, 90.00 degrees
Space group I-4m2 (No. 119)
Unique sites:
Co  0.000  0.000  0.000 (multiplicity 2)
Si  0.000  0.500  0.750 (multiplicity 2)
Br  0.000  0.000  0.500 (multiplicity 2)
Br  0.000  0.500  0.250 (multiplicity 2)

---

This record from Alexandria via LeMat-Bulk describes crystalline CoSiBr2 at its relaxed geometry. The functional is PBE.

Results
magnetization	3.92	μB/cell
calculated volume	183.7	Å³/cell
energy above the most stable polymorph in this dataset	2.44	eV per formula unit
density of states at the Fermi level	4.13	states/eV/f.u.
uncorrected energy	-0.2494	Ry/atom

Cell lengths 7.451, 7.487, 3.293 Å; angles 90.00, 90.00, 90.00 degrees
Space group Cmmm (No. 65)
Unique sites:
Co  0.000  0.000  0.000 (multiplicity 2)
Si  0.000  0.500  0.000 (multiplicity 2)
Br  0.250  0.250  0.000 (multiplicity 4)

---

This record from Alexandria via LeMat-Bulk describes crystalline CoSiBr2 at its relaxed geometry. The functional is PBE.

Results
magnetization	2.49	μB/cell
calculated volume	87.0	Å³/cell
energy above the most stable polymorph in this dataset	2.85	eV per formula unit
density of states at the Fermi level	2.98	states/eV/f.u.
uncorrected energy	-0.2418	Ry/atom

Cell lengths 3.170, 3.170, 8.659 Å; angles 90.00, 90.00, 90.00 degrees
Space group P4/mmm (No. 123)
Unique sites:
Co  0.000  0.000  0.000 (multiplicity 1)
Si  0.000  0.000  0.500 (multiplicity 1)
Br  0.500  0.500  0.186 (multiplicity 2)